Material: Ce6InGe5
Method: DFT, PBE
State: optimized geometry

Summary:
calculated formation energy = -520 meV/atom
Fermi-level density of states = 23.60 states/eV/cell
total moment = 2.41 μB per formula unit
total energy = -67.67 eV/cell

Unit cell a=7.391 b=7.476 c=7.428 alpha=59.79 beta=80.38 gamma=70.61
Each line ends with the local moment (μB).
Element x y z (fractional)
Ce1 0.255 0.268 0.000  0.20
Ce2 0.262 0.912 0.646  0.39
Ge1 0.000 0.331 0.337  -0.02
Ge2 0.500 0.844 0.311  -0.02
Ge3 0.000 0.669 0.663  -0.02
Ce3 0.738 0.442 0.646  0.39
Ce4 0.738 0.088 0.354  0.39
Ge4 0.500 0.500 0.000  -0.02
In1 0.000 0.000 0.000  0.12
Ge5 0.500 0.156 0.689  -0.02
Ce5 0.745 0.732 0.000  0.20
Ce6 0.262 0.558 0.354  0.39

---

Material: K3AuF12
Method: DFT, PBE
State: optimized geometry

Summary:
total moment = 2.19 μB per formula unit
formation energy without anion corrections = -21.3 eV/f.u.
total energy = -50.34 eV/cell

Unit cell a=8.560 b=8.560 c=6.002 alpha=72.80 beta=72.80 gamma=119.75
Each line ends with the local moment (μB).
Element x y z (fractional)
F1 0.672 0.776 0.665  -0.01
F2 0.867 0.459 0.641  0.46
F3 0.133 0.541 0.359  0.46
Au1 0.000 0.000 0.000  0.07
K1 0.000 0.500 0.000  0.00
F4 0.224 0.328 0.335  -0.01
K2 0.500 0.000 0.000  0.00
F5 0.104 0.286 0.905  0.02
F6 0.896 0.714 0.095  0.02
F7 0.328 0.224 0.335  -0.01
K3 0.500 0.500 0.500  0.00
F8 0.541 0.133 0.359  0.46
F9 0.286 0.104 0.905  0.02
F10 0.459 0.867 0.641  0.46
F11 0.776 0.672 0.665  -0.01
F12 0.714 0.896 0.095  0.02

---

Material: NdHo5In2
Method: DFT, PBE
State: optimized geometry

Summary:
calculated formation energy = -180 meV/atom
Fermi-level density of states = 11.61 states/eV/cell
total moment = 0.00 μB per formula unit
total energy = -34.57 eV/cell

Unit cell a=3.595 b=8.433 c=8.433 alpha=76.71 beta=77.69 gamma=77.69
Element x y z (fractional)
Ho1 0.635 0.139 0.591
Nd1 0.000 0.000 0.000
In1 0.258 0.242 0.242
Ho2 0.365 0.409 0.861
In2 0.742 0.758 0.758
Ho3 0.000 0.500 0.500
Ho4 0.365 0.861 0.409
Ho5 0.635 0.591 0.139

---

Material: HoTm2Zn3
Method: DFT, PBE
State: optimized geometry

Summary:
calculated formation energy = -349 meV/atom
Fermi-level density of states = 5.95 states/eV/cell
total moment = 0.00 μB per formula unit
total energy = -19.43 eV/cell

Unit cell a=3.534 b=3.534 c=10.587 alpha=90.00 beta=90.00 gamma=90.00
Element x y z (fractional)
Tm1 0.500 0.500 0.834
Ho1 0.500 0.500 0.500
Zn1 0.000 0.000 0.330
Zn2 0.000 0.000 0.000
Tm2 0.500 0.500 0.166
Zn3 0.000 0.000 0.670

---

Material: SrCeIr2O8
Method: DFT, PBE
State: optimized geometry

Summary:
Fermi-level density of states = 0.30 states/eV/cell
total moment = 0.00 μB per formula unit
formation energy without anion corrections = -16.7 eV/f.u.
total energy = -81.69 eV/cell

Unit cell a=5.924 b=5.924 c=7.256 alpha=90.00 beta=90.00 gamma=120.00
Element x y z (fractional)
O1 0.841 0.677 0.288
O2 0.677 0.836 0.712
Ce1 0.000 0.000 0.500
O3 0.164 0.841 0.712
O4 0.667 0.333 0.948
O5 0.159 0.323 0.712
Sr1 0.000 0.000 0.000
O6 0.836 0.159 0.288
Ir1 0.667 0.333 0.196
Ir2 0.333 0.667 0.804
O7 0.333 0.667 0.052
O8 0.323 0.164 0.288

---

Material: PmTiAgSn
Method: DFT, PBE
State: optimized geometry

Summary:
calculated formation energy = -225 meV/atom
Fermi-level density of states = 3.12 states/eV/cell
total moment = 2.01 μB per formula unit
total energy = -20.40 eV/cell

Unit cell a=5.079 b=5.079 c=5.079 alpha=60.00 beta=60.00 gamma=60.00
Each line ends with the local moment (μB).
Element x y z (fractional)
Pm1 0.750 0.750 0.750  0.14
Sn1 0.000 0.000 0.000  -0.05
Ti1 0.250 0.250 0.250  1.38
Ag1 0.500 0.500 0.500  0.02

---

Material: NbAl2Ni2
Method: DFT, PBE
State: optimized geometry

Summary:
calculated formation energy = -393 meV/atom
Fermi-level density of states = 6.80 states/eV/cell
total moment = 0.45 μB per formula unit
total energy = -62.17 eV/cell

Unit cell a=7.178 b=7.178 c=2.649 alpha=90.00 beta=90.00 gamma=90.00
Each line ends with the local moment (μB).
Element x y z (fractional)
Ni1 0.662 0.838 0.500  0.04
Nb1 0.000 0.000 0.000  0.33
Al1 0.634 0.134 0.000  0.00
Al2 0.866 0.634 0.000  0.00
Ni2 0.162 0.662 0.500  0.04
Al3 0.366 0.866 0.000  0.00
Ni3 0.838 0.338 0.500  0.04
Al4 0.134 0.366 0.000  0.00
Nb2 0.500 0.500 0.000  0.33
Ni4 0.338 0.162 0.500  0.04

---

Material: Cr3ReB
Method: DFT, PBE
State: optimized geometry

Summary:
calculated formation energy = 2448 meV/atom
Fermi-level density of states = 9.70 states/eV/cell
total moment = 0.00 μB per formula unit
total energy = -35.76 eV/cell

Unit cell a=4.449 b=4.449 c=4.449 alpha=90.00 beta=90.00 gamma=90.00
Element x y z (fractional)
B1 0.500 0.500 0.500
Cr1 0.000 0.000 0.500
Re1 0.000 0.000 0.000
Cr2 0.000 0.500 0.000
Cr3 0.500 0.000 0.000

---

Material: AcPmPaRh3
Method: DFT, PBE
State: optimized geometry

Summary:
calculated formation energy = -640 meV/atom
Fermi-level density of states = 9.46 states/eV/cell
total moment = 0.00 μB per formula unit
total energy = -88.50 eV/cell

Unit cell a=6.450 b=6.786 c=8.170 alpha=65.46 beta=80.50 gamma=66.59
Element x y z (fractional)
Rh1 0.250 0.791 0.418
Ac1 0.750 0.774 0.452
Rh2 0.925 0.349 0.844
Rh3 0.750 0.209 0.582
Ac2 0.250 0.226 0.548
Pa1 0.250 0.956 0.089
Rh4 0.425 0.192 0.156
Pa2 0.750 0.044 0.911
Rh5 0.075 0.651 0.156
Pm1 0.750 0.410 0.180
Rh6 0.575 0.808 0.844
Pm2 0.250 0.590 0.820

---

Material: ZrAl2Cu
Method: DFT, PBE
State: optimized geometry

Summary:
calculated formation energy = -180 meV/atom
Fermi-level density of states = 3.11 states/eV/cell
total moment = 0.00 μB per formula unit
total energy = -20.85 eV/cell

Unit cell a=5.546 b=5.546 c=4.959 alpha=63.06 beta=63.06 gamma=30.05
Element x y z (fractional)
Al1 0.026 0.026 0.974
Al2 0.474 0.474 0.526
Cu1 0.750 0.750 0.750
Zr1 0.250 0.250 0.250

---

Material: SiRu3Cl
Method: DFT, PBE
State: optimized geometry

Summary:
Fermi-level density of states = 2.62 states/eV/cell
total moment = 5.05 μB per formula unit
formation energy without anion corrections = 5.6 eV/f.u.
total energy = -29.48 eV/cell

Unit cell a=4.536 b=4.536 c=4.536 alpha=90.00 beta=90.00 gamma=90.00
Each line ends with the local moment (μB).
Element x y z (fractional)
Ru1 0.000 0.000 0.500  1.46
Ru2 0.500 0.000 0.000  1.57
Cl1 0.500 0.500 0.500  0.20
Si1 0.000 0.000 0.000  -0.07
Ru3 0.000 0.500 0.000  1.69

---

Material: TbBiI2
Method: DFT, PBE
State: optimized geometry

Summary:
Fermi-level density of states = 2.32 states/eV/cell
total moment = 0.00 μB per formula unit
formation energy without anion corrections = -2.5 eV/f.u.
total energy = -14.06 eV/cell

Unit cell a=3.879 b=3.879 c=11.635 alpha=80.40 beta=80.40 gamma=60.00
Element x y z (fractional)
I1 0.895 0.895 0.316
I2 0.105 0.105 0.684
Tb1 0.500 0.500 0.500
Bi1 0.000 0.000 0.000